Density functional theory data (PBE) for a relaxed MgNb3O crystal.

Lattice parameters (Å, degrees): 4.313 4.313 4.313 90.00 90.00 90.00
Space group Pm-3m (No. 221)
Unique sites:
Mg: 0.000 0.000 0.000 [1 per cell]
Nb: 0.000 0.500 0.500 [3 per cell]
O: 0.500 0.500 0.500 [1 per cell]

Values from the calculation:
Offset from the most stable computed form (eV per atom): 0.000
Raw formation energy (eV/atom): -0.566
Fermi-level density of states (states/eV/atom): 0.9079